No. 1
Material: SrS2N2
Method: DFT, GGA-PBE
State: optimized geometry

Calculated values
As for the total magnetization: 1.76 μB per formula unit. The raw total energy is -4.619 eV per atom.

Lattice parameters (Å, degrees): 3.9896 3.9896 4.7534 90.00 90.00 90.00
Closest atoms and distances in Å follow each position.
Element x y z (fractional)
Sr (0.0000, 0.0000, 0.0000)  4 S 2.82, 8 N 3.10
S (0.5000, 0.5000, 0.0000)  2 S 2.38
S (0.5000, 0.5000, 0.5000)  4 N 1.99
N (0.0000, 0.5000, 0.5000)  2 S 1.99
N (0.5000, 0.0000, 0.5000)  2 S 1.99

No. 2
Material: Sr5S2N2
Method: DFT, GGA-PBE
State: optimized geometry

Calculated values
As for the total magnetization: 0.00 μB per formula unit. The raw total energy is -4.887 eV per atom.

Lattice parameters (Å, degrees): 7.4424 7.4424 8.1474 122.86 122.86 38.64
Closest atoms and distances in Å follow each position.
Element x y z (fractional)
Sr (0.0000, 0.0000, 0.0000)  2 N 2.82, 4 S 3.09
Sr (0.1216, 0.1216, 0.7379)  2 N 2.51-2.74
Sr (0.3543, 0.3543, 0.6232)  3 N 2.57-2.81
Sr (0.6457, 0.6457, 0.3768)  3 N 2.57-2.81
Sr (0.8784, 0.8784, 0.2621)  2 N 2.51-2.74
S (0.3788, 0.3788, 0.0313)  7 Sr 2.97-3.14
S (0.6212, 0.6212, 0.9687)  7 Sr 2.97-3.14
N (0.1111, 0.1111, 0.4193)  5 Sr 2.51-2.81
N (0.8889, 0.8889, 0.5807)  5 Sr 2.51-2.81

No. 3
Material: Sr12S3N5
Method: DFT, GGA-PBE
State: optimized geometry

Calculated values
As for the total magnetization: 1.25 μB per formula unit. The raw total energy is -4.554 eV per atom.

Lattice parameters (Å, degrees): 14.2432 14.2432 14.2432 109.47 109.47 109.47
Closest atoms and distances in Å follow each position.
Element x y z (fractional)
Sr (0.0226, 0.2033, 0.1217)  2 N 2.42-2.67
Sr (0.0226, 0.3193, 0.9008)  2 N 2.42-2.67
Sr (0.0816, 0.7033, 0.6807)  2 N 2.42-2.67
Sr (0.0816, 0.8783, 0.4008)  2 N 2.42-2.67
Sr (0.0992, 0.6217, 0.4184)  2 N 2.42-2.67
Sr (0.0992, 0.9774, 0.6807)  2 N 2.42-2.67
Sr (0.1217, 0.0226, 0.2033)  2 N 2.42-2.67
Sr (0.1217, 0.5992, 0.9184)  2 N 2.42-2.67
Sr (0.1807, 0.2033, 0.5816)  2 N 2.42-2.67
Sr (0.1807, 0.4774, 0.5992)  2 N 2.42-2.67
Sr (0.2033, 0.1217, 0.0226)  2 N 2.42-2.67
Sr (0.2033, 0.5816, 0.1807)  2 N 2.42-2.67
Sr (0.2967, 0.3193, 0.9184)  2 N 2.42-2.67
Sr (0.2967, 0.4774, 0.3783)  2 N 2.42-2.67
Sr (0.3193, 0.9008, 0.0226)  2 N 2.42-2.67
Sr (0.3193, 0.9184, 0.2967)  2 N 2.42-2.67
Sr (0.3783, 0.2967, 0.4774)  2 N 2.42-2.67
Sr (0.3783, 0.5816, 0.9008)  2 N 2.42-2.67
Sr (0.4008, 0.0816, 0.8783)  2 N 2.42-2.67
Sr (0.4008, 0.8193, 0.5226)  2 N 2.42-2.67
Sr (0.4184, 0.0992, 0.6217)  2 N 2.42-2.67
Sr (0.4184, 0.8193, 0.7967)  2 N 2.42-2.67
Sr (0.4774, 0.3783, 0.2967)  2 N 2.42-2.67
Sr (0.4774, 0.5992, 0.1807)  2 N 2.42-2.67
Sr (0.5226, 0.4008, 0.8193)  2 N 2.42-2.67
Sr (0.5226, 0.6217, 0.7033)  2 N 2.42-2.67
Sr (0.5816, 0.1807, 0.2033)  2 N 2.42-2.67
Sr (0.5816, 0.9008, 0.3783)  2 N 2.42-2.67
Sr (0.5992, 0.1807, 0.4774)  2 N 2.42-2.67
Sr (0.5992, 0.9184, 0.1217)  2 N 2.42-2.67
Sr (0.6217, 0.4184, 0.0992)  2 N 2.42-2.67
Sr (0.6217, 0.7033, 0.5226)  2 N 2.42-2.67
Sr (0.6807, 0.0816, 0.7033)  2 N 2.42-2.67
Sr (0.6807, 0.0992, 0.9774)  2 N 2.42-2.67
Sr (0.7033, 0.5226, 0.6217)  2 N 2.42-2.67
Sr (0.7033, 0.6807, 0.0816)  2 N 2.42-2.67
Sr (0.7967, 0.4184, 0.8193)  2 N 2.42-2.67
Sr (0.7967, 0.8783, 0.9774)  2 N 2.42-2.67
Sr (0.8193, 0.5226, 0.4008)  2 N 2.42-2.67
Sr (0.8193, 0.7967, 0.4184)  2 N 2.42-2.67
Sr (0.8783, 0.4008, 0.0816)  2 N 2.42-2.67
Sr (0.8783, 0.9774, 0.7967)  2 N 2.42-2.67
Sr (0.9008, 0.0226, 0.3193)  2 N 2.42-2.67
Sr (0.9008, 0.3783, 0.5816)  2 N 2.42-2.67
Sr (0.9184, 0.1217, 0.5992)  2 N 2.42-2.67
Sr (0.9184, 0.2967, 0.3193)  2 N 2.42-2.67
Sr (0.9774, 0.6807, 0.0992)  2 N 2.42-2.67
Sr (0.9774, 0.7967, 0.8783)  2 N 2.42-2.67
S (0.1250, 0.2500, 0.3750)  8 Sr 3.13-3.32
S (0.1250, 0.3750, 0.7500)  8 Sr 3.13-3.32
S (0.2500, 0.3750, 0.1250)  8 Sr 3.13-3.32
S (0.2500, 0.8750, 0.6250)  8 Sr 3.13-3.32
S (0.3750, 0.1250, 0.2500)  8 Sr 3.13-3.32
S (0.3750, 0.7500, 0.1250)  8 Sr 3.13-3.32
S (0.6250, 0.2500, 0.8750)  8 Sr 3.13-3.32
S (0.6250, 0.8750, 0.7500)  8 Sr 3.13-3.32
S (0.7500, 0.1250, 0.3750)  8 Sr 3.13-3.32
S (0.7500, 0.6250, 0.8750)  8 Sr 3.13-3.32
S (0.8750, 0.6250, 0.2500)  8 Sr 3.13-3.32
S (0.8750, 0.7500, 0.6250)  8 Sr 3.13-3.32
N (0.0000, 0.0000, 0.0000)  6 Sr 2.67
N (0.0000, 0.0000, 0.5000)  6 Sr 2.67
N (0.0000, 0.5000, 0.0000)  6 Sr 2.67
N (0.0000, 0.5000, 0.5000)  6 Sr 2.67
N (0.1250, 0.7500, 0.8750)  4 Sr 2.42
N (0.1250, 0.8750, 0.2500)  4 Sr 2.42
N (0.2500, 0.1250, 0.8750)  4 Sr 2.42
N (0.2500, 0.6250, 0.3750)  4 Sr 2.42
N (0.3750, 0.2500, 0.6250)  4 Sr 2.42
N (0.3750, 0.6250, 0.7500)  4 Sr 2.42
N (0.5000, 0.0000, 0.0000)  6 Sr 2.67
N (0.5000, 0.0000, 0.5000)  6 Sr 2.67
N (0.5000, 0.5000, 0.0000)  6 Sr 2.67
N (0.5000, 0.5000, 0.5000)  6 Sr 2.67
N (0.6250, 0.3750, 0.2500)  4 Sr 2.42
N (0.6250, 0.7500, 0.3750)  4 Sr 2.42
N (0.7500, 0.3750, 0.6250)  4 Sr 2.42
N (0.7500, 0.8750, 0.1250)  4 Sr 2.42
N (0.8750, 0.1250, 0.7500)  4 Sr 2.42
N (0.8750, 0.2500, 0.1250)  4 Sr 2.42

No. 4
Material: SrSN
Method: DFT, GGA-PBE
State: optimized geometry

Calculated values
As for the total magnetization: 0.00 μB per formula unit. The raw total energy is -6.037 eV per atom.

Lattice parameters (Å, degrees): 9.9057 4.2132 8.4136 90.00 101.38 90.00
Closest atoms and distances in Å follow each position.
Element x y z (fractional)
Sr (0.1500, 0.2498, 0.4095)  5 S 2.98-2.99, 1 N 3.01
Sr (0.1500, 0.2502, 0.9095)  5 S 2.98-2.99, 1 N 3.01
Sr (0.8500, 0.7498, 0.0905)  5 S 2.98-2.99, 1 N 3.01
Sr (0.8500, 0.7502, 0.5905)  5 S 2.98-2.99, 1 N 3.01
S (0.1582, 0.7500, 0.1615)  5 Sr 2.98-2.99
S (0.1582, 0.7500, 0.6615)  5 Sr 2.98-2.99
S (0.8418, 0.2500, 0.3385)  5 Sr 2.98-2.99
S (0.8418, 0.2500, 0.8385)  5 Sr 2.98-2.99
N (0.4485, 0.0580, 0.4858)  1 N 1.11
N (0.4485, 0.4420, 0.9858)  1 N 1.11
N (0.5515, 0.5580, 0.0142)  1 N 1.11
N (0.5515, 0.9420, 0.5142)  1 N 1.11

No. 5
Material: SrSN4
Method: DFT, GGA-PBE
State: optimized geometry

Calculated values
As for the total magnetization: 0.00 μB per formula unit. The raw total energy is -6.447 eV per atom.

Lattice parameters (Å, degrees): 4.2918 4.2918 6.0551 113.03 113.03 75.72
Closest atoms and distances in Å follow each position.
Element x y z (fractional)
Sr (0.0000, 0.0000, 0.0000)  2 N 2.52
S (0.5000, 0.5000, 0.5000)  2 N 1.88
N (0.2611, 0.2611, 0.8152)  1 N 1.19
N (0.3741, 0.3741, 0.7159)  1 N 1.19
N (0.6259, 0.6259, 0.2841)  1 N 1.19
N (0.7389, 0.7389, 0.1848)  1 N 1.19

No. 6
Material: SrS6N2
Method: DFT, GGA-PBE
State: optimized geometry

Calculated values
As for the total magnetization: 0.00 μB per formula unit. The raw total energy is -4.505 eV per atom.

Lattice parameters (Å, degrees): 7.0785 7.0785 5.9506 108.41 108.41 53.99
Closest atoms and distances in Å follow each position.
Element x y z (fractional)
Sr (0.0000, 0.0000, 0.0000)  2 N 2.63
S (0.0997, 0.4215, 0.2708)  1 N 1.75
S (0.1549, 0.8451, 0.5000)  1 S 1.99
S (0.4215, 0.0997, 0.2708)  1 N 1.75
S (0.5785, 0.9003, 0.7292)  1 N 1.75
S (0.8451, 0.1549, 0.5000)  1 S 1.99
S (0.9003, 0.5785, 0.7292)  1 N 1.75
N (0.2112, 0.2112, 0.0168)  2 S 1.75
N (0.7888, 0.7888, 0.9832)  2 S 1.75